# TaSi2Te

A relaxed TaSi2Te crystal (PBE, Alexandria).

extended XYZ file:
```
4
Lattice="-1.733 2.341 4.379 1.733 -2.341 4.379 1.733 2.341 -4.379" Properties=species:S:1:pos:R:3 pbc="T T T"
Ta 0.000 0.000 0.000
Si 1.733 0.000 2.160
Si 0.000 2.341 2.220
Te 0.000 0.000 4.379
```

Calculated values
For the magnetic moment, the calculation gives 0.00 μB/f.u. As for the energy: -6.081 eV/atom. The formation energy from raw total energies is 0.379 eV per atom.

# NpU2V

A relaxed NpU2V crystal (PBE, Alexandria).

extended XYZ file:
```
4
Lattice="3.422 0.000 0.000 0.000 3.422 0.000 0.000 0.000 6.197" Properties=species:S:1:pos:R:3 pbc="T T T"
Np 0.000 0.000 0.000
U 1.711 1.711 1.517
U 1.711 1.711 4.680
V 0.000 0.000 3.099
```

Calculated values
For the magnetic moment, the calculation gives 0.00 μB/f.u. For the formation energy from the elements, the calculation gives 313 meV per atom. As for the energy: -10.846 eV/atom.

# Cu2NiSn2

A relaxed Cu2NiSn2 crystal (PBE, Alexandria).

extended XYZ file:
```
10
Lattice="6.813 0.000 0.000 0.000 6.813 0.000 0.000 0.000 3.853" Properties=species:S:1:pos:R:3 pbc="T T T"
Cu 0.895 2.511 0.000
Cu 2.511 5.918 0.000
Cu 4.302 0.895 0.000
Cu 5.918 4.302 0.000
Ni 0.000 0.000 1.926
Ni 3.407 3.407 1.926
Sn 1.132 4.539 1.926
Sn 2.275 1.132 1.926
Sn 4.539 5.681 1.926
Sn 5.681 2.275 1.926
```

Calculated values
For the magnetic moment, the calculation gives 0.00 μB/f.u. For the formation energy from the elements, the calculation gives 204 meV per atom. As for the energy: -4.192 eV/atom.

# La12MgCd6

A relaxed La12MgCd6 crystal (PBE, Alexandria).

extended XYZ file:
```
19
Lattice="5.844 3.374 4.995 -5.844 3.374 4.995 0.000 -6.748 4.995" Properties=species:S:1:pos:R:3 pbc="T T T"
La -1.644 -5.221 6.434
La -5.343 -1.186 8.552
La -1.363 -1.603 4.637
La -3.699 4.034 6.434
La -0.707 1.982 4.637
La 2.070 -0.379 4.637
La -2.070 0.379 10.350
La 0.707 -1.982 10.350
La 3.699 -4.034 8.552
La 1.363 1.603 10.350
La 5.343 1.186 6.434
La 1.644 5.221 8.552
Mg 0.000 0.000 7.493
Cd -2.115 -2.181 8.032
Cd -2.946 0.741 6.954
Cd 0.831 -2.922 6.954
Cd -0.831 2.922 8.032
Cd 2.946 -0.741 8.032
Cd 2.115 2.181 6.954
```

Calculated values
For the magnetic moment, the calculation gives 0.00 μB/f.u. For the formation energy from the elements, the calculation gives -145 meV per atom. As for the energy: -3.630 eV/atom.

# LiGdSiNi

A relaxed LiGdSiNi crystal (PBE, Alexandria).

extended XYZ file:
```
4
Lattice="0.000 3.141 3.141 3.141 0.000 3.141 3.141 3.141 0.000" Properties=species:S:1:pos:R:3 pbc="T T T"
Li 0.000 0.000 0.000
Gd 4.712 4.712 4.712
Si 1.571 1.571 1.571
Ni 3.141 3.141 3.141
```

Calculated values
For the magnetic moment, the calculation gives 7.00 μB/f.u. As for the energy: -7.299 eV/atom. The formation energy from raw total energies is -0.499 eV per atom.

# RbSrTlPt2

A relaxed RbSrTlPt2 crystal (PBE, Alexandria).

extended XYZ file:
```
5
Lattice="5.476 0.000 0.000 0.000 5.476 0.000 0.000 0.000 5.647" Properties=species:S:1:pos:R:3 pbc="T T T"
Rb 0.000 0.000 0.000
Sr 0.000 0.000 2.824
Tl 2.738 2.738 2.824
Pt 0.000 2.738 0.000
Pt 2.738 0.000 0.000
```

Calculated values
For the magnetic moment, the calculation gives 0.00 μB/f.u. For the formation energy from the elements, the calculation gives 1104 meV per atom. As for the energy: -2.316 eV/atom.

# Cd12Ag7Hg

A relaxed Cd12Ag7Hg crystal (PBE, Alexandria).

extended XYZ file:
```
20
Lattice="6.829 3.943 2.713 -6.829 3.943 2.713 0.000 -7.885 2.713" Properties=species:S:1:pos:R:3 pbc="T T T"
Cd -1.925 -4.551 2.713
Cd -4.904 0.608 2.713
Cd -2.339 -1.351 3.298
Cd 1.925 -4.551 2.713
Cd -2.979 3.943 2.713
Cd 0.000 -2.701 4.841
Cd -2.339 1.351 4.841
Cd 2.339 -1.351 3.298
Cd 0.000 2.701 3.298
Cd 4.904 0.608 2.713
Cd 2.979 3.943 2.713
Cd 2.339 1.351 4.841
Ag 0.000 -2.349 1.862
Ag -2.034 1.174 1.862
Ag 2.034 1.174 1.862
Ag 0.000 0.000 4.069
Ag -2.034 -1.174 6.277
Ag 2.034 -1.174 6.277
Ag 0.000 2.349 6.277
Hg 0.000 0.000 0.000
```

Calculated values
For the magnetic moment, the calculation gives 0.00 μB/f.u. For the formation energy from the elements, the calculation gives 57 meV per atom. As for the energy: -1.505 eV/atom.

# Th3Ni2Ge4

A relaxed Th3Ni2Ge4 crystal (PBE, Alexandria).

extended XYZ file:
```
9
Lattice="5.497 -2.115 0.000 5.497 2.115 0.000 -1.547 0.000 8.107" Properties=species:S:1:pos:R:3 pbc="T T T"
Th 0.000 0.000 0.000
Th 3.210 0.000 2.730
Th 6.237 0.000 5.377
Ni 3.246 0.000 5.824
Ni 6.201 0.000 2.283
Ge 0.109 0.000 3.121
Ge 1.658 0.000 7.540
Ge 7.790 0.000 0.567
Ge 9.338 0.000 4.986
```

Calculated values
For the magnetic moment, the calculation gives 0.00 μB/f.u. For the formation energy from the elements, the calculation gives -789 meV per atom. As for the energy: -6.600 eV/atom.

Question: Number 1 is which compound?
Answer: TaSi2Te